# 1
Crystalline AgSnPd at its relaxed geometry, computed with PBE. Values from VASP.

Summary:
For the mass density, the calculation gives 9.707 g/cm³. The energy of formation from the pure elements comes out at -0.2054 eV per atom. As for the relative energy among the computed polymorphs: 0.043 eV/atom. The value obtained for the volume is 57.0 Å³ per cell.

Geometry as Quantum ESPRESSO input:
```
&SYSTEM
  ibrav = 0, nat = 3, ntyp = 3
/
ATOMIC_SPECIES
Sn 118.71 Sn.upf
Ag 107.87 Ag.upf
Pd 106.42 Pd.upf
ATOMIC_POSITIONS angstrom
Sn 1.542 2.313 1.335
Ag 3.075 0.000 0.000
Pd 1.533 0.000 2.670
CELL_PARAMETERS angstrom
3.075 0.000 0.000
0.000 4.625 0.000
0.000 -2.313 4.005
```

# 2
Crystalline YHfAu at its relaxed geometry, computed with PBE. Values from VASP.

Summary:
For the mass density, the calculation gives 10.839 g/cm³. The energy of formation from the pure elements comes out at -0.1672 eV per atom. As for the relative energy among the computed polymorphs: 0.309 eV/atom. The value obtained for the volume is 142.3 Å³ per cell.

Geometry as Quantum ESPRESSO input:
```
&SYSTEM
  ibrav = 0, nat = 6, ntyp = 3
/
ATOMIC_SPECIES
Y 88.91 Y.upf
Hf 178.49 Hf.upf
Au 196.97 Au.upf
ATOMIC_POSITIONS angstrom
Y 0.934 -0.713 3.472
Y 1.880 -3.560 2.633
Hf 0.659 -3.212 5.860
Hf 2.155 -1.060 0.246
Au -0.549 -2.290 1.369
Au 3.362 -1.982 4.737
CELL_PARAMETERS angstrom
-1.913 -3.957 -0.298
3.806 -1.737 -1.380
1.867 -1.425 6.945
```

# 3
Crystalline Dy6Ho19Sc4 at its relaxed geometry, computed with PBE. Values from VASP.

Summary:
For the mass density, the calculation gives 7.764 g/cm³. The energy of formation from the pure elements comes out at 0.3831 eV per atom. The value obtained for the volume is 917.3 Å³ per cell.

Geometry as Quantum ESPRESSO input:
```
&SYSTEM
  ibrav = 0, nat = 29, ntyp = 3
/
ATOMIC_SPECIES
Sc 44.96 Sc.upf
Ho 164.93 Ho.upf
Dy 162.50 Dy.upf
ATOMIC_POSITIONS angstrom
Sc -1.747 -3.204 0.903
Sc -1.705 -3.357 -5.713
Sc -5.652 1.417 3.586
Sc 4.177 -3.892 3.771
Ho -2.607 -5.036 3.493
Ho -4.356 -4.287 7.183
Ho -0.069 -6.223 -5.032
Ho -2.955 -0.779 -0.854
Ho -4.649 -4.726 0.642
Ho 1.219 -3.914 2.337
Ho -1.589 -6.454 0.435
Ho 1.426 -9.305 0.565
Ho -7.393 -5.335 -2.413
Ho -3.842 -1.106 2.507
Ho -8.445 -2.226 -2.442
Ho 2.837 -8.320 -2.229
Ho 2.165 -4.203 6.457
Ho -2.021 -3.495 -2.444
Ho -0.592 -0.994 2.955
Ho -1.693 -2.840 8.444
Ho -7.851 -0.124 1.548
Ho 0.000 0.000 0.000
Ho 0.993 -2.911 -0.780
Dy 0.451 -6.001 -1.928
Dy -4.277 -5.675 -2.766
Dy -5.994 -1.995 -0.184
Dy -0.651 -3.360 5.313
Dy -5.378 -3.033 4.475
Dy 1.066 -7.040 2.730
CELL_PARAMETERS angstrom
-8.758 2.196 5.556
-2.642 -5.201 -8.852
6.473 -6.030 5.843
```

# 4
Crystalline Mg5Sb at its relaxed geometry, computed with PBE. Values from VASP.

Summary:
For the mass density, the calculation gives 2.879 g/cm³. As for the relative energy among the computed polymorphs: 0.056 eV/atom. The value obtained for the volume is 140.3 Å³ per cell. The calculation puts the energy relative to the elements, uncorrected at -0.050 eV/atom.

Geometry as Quantum ESPRESSO input:
```
&SYSTEM
  ibrav = 0, nat = 6, ntyp = 2
/
ATOMIC_SPECIES
Mg 24.30 Mg.upf
Sb 121.76 Sb.upf
ATOMIC_POSITIONS angstrom
Mg 1.717 2.498 2.141
Mg -0.647 1.298 3.873
Mg -3.622 0.354 -0.724
Mg -0.980 1.466 0.729
Mg -3.342 0.216 2.428
Sb -0.552 -1.401 2.078
CELL_PARAMETERS angstrom
2.599 3.782 3.241
-5.484 0.536 -1.096
-1.104 -2.803 4.156
```

# 5
Crystalline Ca2MnNi4P3 at its relaxed geometry, computed with PBE. Values from VASP.

Summary:
For the mass density, the calculation gives 5.218 g/cm³. The energy of formation from the pure elements comes out at -0.6755 eV per atom. The value obtained for the volume is 147.3 Å³ per cell.

Geometry as Quantum ESPRESSO input:
```
&SYSTEM
  ibrav = 0, nat = 10, ntyp = 4
/
ATOMIC_SPECIES
Ca 40.08 Ca.upf
Ni 58.69 Ni.upf
P 30.97 P.upf
Mn 54.94 Mn.upf
ATOMIC_POSITIONS angstrom
Ca -1.537 1.507 2.174
Ca 1.368 3.026 6.820
Ni 0.754 0.645 3.879
Ni 0.000 0.000 0.000
Ni -0.923 3.888 5.114
Ni -1.721 -1.484 1.561
P -0.564 5.281 6.835
P 0.395 -0.748 2.158
P 0.776 3.009 3.716
Mn -0.945 1.524 5.277
CELL_PARAMETERS angstrom
-3.829 0.086 0.730
0.387 -3.054 2.392
1.552 6.017 7.433
```

# 6
Crystalline NpSbPd2 at its relaxed geometry, computed with PBE. Values from VASP.

Summary:
For the mass density, the calculation gives 11.753 g/cm³. The value obtained for the volume is 80.8 Å³ per cell. The calculation puts the energy relative to the elements, uncorrected at -0.168 eV/atom.

Geometry as Quantum ESPRESSO input:
```
&SYSTEM
  ibrav = 0, nat = 4, ntyp = 3
/
ATOMIC_SPECIES
Pd 106.42 Pd.upf
Np 237.00 Np.upf
Sb 121.76 Sb.upf
ATOMIC_POSITIONS angstrom
Pd 0.000 0.000 5.805
Pd 0.000 0.000 1.757
Np 1.634 1.634 3.781
Sb 1.634 1.634 0.000
CELL_PARAMETERS angstrom
3.268 0.000 0.000
0.000 3.268 0.000
0.000 0.000 7.562
```

# 7
Crystalline Sr2TlRh at its relaxed geometry, computed with PBE. Values from VASP.

Summary:
For the mass density, the calculation gives 6.214 g/cm³. The energy of formation from the pure elements comes out at -0.0960 eV per atom. As for the relative energy among the computed polymorphs: 0.196 eV/atom. The value obtained for the volume is 129.0 Å³ per cell.

Geometry as Quantum ESPRESSO input:
```
&SYSTEM
  ibrav = 0, nat = 4, ntyp = 3
/
ATOMIC_SPECIES
Tl 204.38 Tl.upf
Sr 87.62 Sr.upf
Rh 102.91 Rh.upf
ATOMIC_POSITIONS angstrom
Tl 6.180 2.920 6.869
Sr 6.955 3.286 0.508
Sr 4.136 1.955 4.088
Rh 2.060 0.973 2.290
CELL_PARAMETERS angstrom
4.268 -0.007 0.008
2.704 3.302 0.008
1.268 0.599 9.142
```

# 8
Crystalline LiLaPt2 at its relaxed geometry, computed with PBE. Values from VASP.

Summary:
For the mass density, the calculation gives 11.242 g/cm³. The energy of formation from the pure elements comes out at -0.9209 eV per atom. The value obtained for the volume is 316.7 Å³ per cell.

Geometry as Quantum ESPRESSO input:
```
&SYSTEM
  ibrav = 0, nat = 16, ntyp = 3
/
ATOMIC_SPECIES
Pt 195.08 Pt.upf
La 138.91 La.upf
Li 6.94 Li.upf
ATOMIC_POSITIONS angstrom
Pt -7.015 -3.315 0.599
Pt -3.392 1.822 -0.302
Pt -9.246 -3.481 -2.801
Pt -4.162 -3.095 -0.132
Pt -7.513 -1.350 -2.802
Pt -8.284 -6.267 -2.631
Pt -4.660 -1.130 -3.533
Pt -2.429 -0.964 -0.133
La -6.229 -4.039 -2.240
La -6.686 1.005 -4.567
La -4.989 -5.450 1.633
La -5.446 -0.406 -0.694
Li -5.105 -2.110 2.107
Li -8.991 -4.907 -0.505
Li -6.570 -2.334 -5.041
Li -2.685 0.462 -2.429
CELL_PARAMETERS angstrom
-3.061 2.490 1.888
-3.997 0.409 -7.022
-4.618 -7.344 2.200
```

# 9
Crystalline AgWBr at its relaxed geometry, computed with PBE. Values from VASP.

Summary:
For the mass density, the calculation gives 10.061 g/cm³. As for the relative energy among the computed polymorphs: 0.164 eV/atom. The value obtained for the volume is 61.3 Å³ per cell. The calculation puts the energy relative to the elements, uncorrected at 0.789 eV/atom.

Geometry as Quantum ESPRESSO input:
```
&SYSTEM
  ibrav = 0, nat = 3, ntyp = 3
/
ATOMIC_SPECIES
Br 79.90 Br.upf
Ag 107.87 Ag.upf
W 183.84 W.upf
ATOMIC_POSITIONS angstrom
Br 3.765 1.224 0.000
Ag 0.405 0.132 0.000
W 8.527 2.771 0.000
CELL_PARAMETERS angstrom
7.011 0.025 0.000
5.686 4.102 0.000
-6.348 -2.063 2.143
```

# 10
Crystalline Rb2Dy2F7 at its relaxed geometry, computed with PBE. Values from VASP.

Summary:
For the mass density, the calculation gives 4.780 g/cm³. The value obtained for the volume is 218.5 Å³ per cell. The calculation puts the energy relative to the elements, uncorrected at -3.465 eV/atom.

Geometry as Quantum ESPRESSO input:
```
&SYSTEM
  ibrav = 0, nat = 11, ntyp = 3
/
ATOMIC_SPECIES
F 19.00 F.upf
Dy 162.50 Dy.upf
Rb 85.47 Rb.upf
ATOMIC_POSITIONS angstrom
F 2.596 5.738 2.763
F 2.594 1.262 2.761
F 2.797 1.288 -0.029
F 2.392 5.713 5.552
F -0.201 5.715 2.792
F 5.391 1.285 2.731
F 0.000 0.000 0.000
Dy 1.230 7.003 4.047
Dy 3.960 -0.002 1.476
Rb 3.835 3.499 4.082
Rb 1.355 3.501 1.442
CELL_PARAMETERS angstrom
5.594 -0.002 -0.059
0.003 7.005 0.003
-0.407 -0.002 5.579
```

# 11
Crystalline Na3CaZr at its relaxed geometry, computed with PBE. Values from VASP.

Summary:
For the mass density, the calculation gives 1.590 g/cm³. The energy of formation from the pure elements comes out at 1.0324 eV per atom. As for the relative energy among the computed polymorphs: 0.000 eV/atom. The value obtained for the volume is 209.1 Å³ per cell.

Geometry as Quantum ESPRESSO input:
```
&SYSTEM
  ibrav = 0, nat = 5, ntyp = 3
/
ATOMIC_SPECIES
Zr 91.22 Zr.upf
Ca 40.08 Ca.upf
Na 22.99 Na.upf
ATOMIC_POSITIONS angstrom
Zr 0.000 0.000 0.000
Ca -0.935 4.300 2.657
Na -1.926 2.117 -0.788
Na -1.023 0.106 2.784
Na 2.013 2.078 0.661
CELL_PARAMETERS angstrom
-3.851 4.233 -1.576
-2.046 0.211 5.568
4.027 4.156 1.322
```

# 12
Crystalline U2AgC at its relaxed geometry, computed with PBE. Values from VASP.

Summary:
For the mass density, the calculation gives 12.871 g/cm³. The energy of formation from the pure elements comes out at 0.1919 eV per atom. The value obtained for the volume is 76.9 Å³ per cell.

Geometry as Quantum ESPRESSO input:
```
&SYSTEM
  ibrav = 0, nat = 4, ntyp = 3
/
ATOMIC_SPECIES
U 238.03 U.upf
Ag 107.87 Ag.upf
C 12.01 C.upf
ATOMIC_POSITIONS angstrom
U -4.859 3.845 1.789
U -5.768 1.155 -1.945
Ag 0.000 0.000 0.000
C -5.313 2.500 -0.078
CELL_PARAMETERS angstrom
-1.453 0.630 -2.645
-2.523 -1.586 -0.788
-6.650 5.957 3.277
```